# 1
Compound: Tb6Bi3Sb2Te
Source: Alexandria via LeMat-Bulk
Functional: PBE
Structure: optimized geometry

a b c (Å): 9.922 9.922 8.889
angles (deg): 102.86 102.86 25.87
Element x y z (fractional)
Tb1 0.002 0.002 0.253
Tb2 0.332 0.332 0.421
Tb3 0.332 0.332 0.912
Tb4 0.668 0.668 0.088
Tb5 0.668 0.668 0.579
Tb6 0.998 0.998 0.747
Bi1 0.165 0.165 0.833
Bi2 0.500 0.500 0.500
Bi3 0.835 0.835 0.167
Sb1 0.166 0.166 0.332
Sb2 0.834 0.834 0.668
Te1 0.500 0.500 0.000

Summary:
* symmetry: C2/m (12)
* formation energy (no corrections): -12.78 eV/f.u.
* DFT total energy: -5.299 eV/atom
* magnetic moment: 0.000 μB/f.u.
* density of states at the Fermi level: 0.169 states/eV per atom

---

# 2
Compound: Tb6BiSb2Te3
Source: Alexandria via LeMat-Bulk
Functional: PBE
Structure: optimized geometry

a b c (Å): 9.862 9.862 8.808
angles (deg): 102.92 102.92 25.81
Element x y z (fractional)
Tb1 0.003 0.003 0.252
Tb2 0.330 0.330 0.422
Tb3 0.332 0.332 0.907
Tb4 0.668 0.668 0.093
Tb5 0.670 0.670 0.578
Tb6 0.997 0.997 0.748
Bi1 0.500 0.500 0.000
Sb1 0.167 0.167 0.334
Sb2 0.833 0.833 0.666
Te1 0.165 0.165 0.834
Te2 0.500 0.500 0.500
Te3 0.835 0.835 0.166

Summary:
* symmetry: C2/m (12)
* formation energy (no corrections): -14.67 eV/f.u.
* DFT total energy: -5.333 eV/atom
* magnetic moment: 0.000 μB/f.u.
* density of states at the Fermi level: 0.436 states/eV per atom

---

# 3
Compound: Tb4BiSb2Te
Source: Alexandria via LeMat-Bulk
Functional: PBE
Structure: optimized geometry

a b c (Å): 7.644 4.420 7.656
angles (deg): 90.00 109.40 90.00
Element x y z (fractional)
Tb1 0.245 0.000 0.241
Tb2 0.251 0.500 0.757
Tb3 0.749 0.500 0.243
Tb4 0.755 0.000 0.759
Bi1 0.000 0.000 0.500
Sb1 0.000 0.500 0.000
Sb2 0.500 0.000 0.000
Te1 0.500 0.500 0.500

Summary:
* symmetry: P2/m (10)
* formation energy (no corrections): -9.29 eV/f.u.
* DFT total energy: -5.385 eV/atom
* magnetic moment: 0.000 μB/f.u.
* density of states at the Fermi level: 0.200 states/eV per atom